Record 1
Density functional theory data (PBE) for a relaxed NbV2OsN crystal.

Computed properties:
The uncorrected formation energy is -47.29 kJ/mol of atoms.

Cell lengths 3.917, 3.917, 4.277 Å; angles 90.00, 90.00, 90.00 degrees
Atoms (fractional coordinates):
Os 0.500 0.500 0.500
N 0.000 0.000 0.000
Nb 0.000 0.000 0.500
V 0.500 0.000 0.000
V 0.000 0.500 0.000

=====

Record 2
Density functional theory data (PBE) for a relaxed ZrNbOsN2 crystal.

Computed properties:
The uncorrected formation energy is 117.69 kJ/mol of atoms.

Cell lengths 3.932, 6.265, 3.932 Å; angles 90.00, 90.00, 90.00 degrees
Site moments in Bohr magnetons follow the coordinates.
Atoms (fractional coordinates):
Nb 0.000 0.000 0.000  0.04
Zr 0.000 0.500 0.000  -0.13
N 0.000 0.000 0.500  -0.43
N 0.500 0.000 0.000  -0.20
Os 0.500 0.500 0.500  0.98

=====

Record 3
Density functional theory data (PBE) for a relaxed NbPN3 crystal.

Computed properties:
The uncorrected formation energy is 32.51 kJ/mol of atoms.

Cell lengths 3.506, 3.506, 3.506 Å; angles 90.00, 90.00, 90.00 degrees
Atoms (fractional coordinates):
Nb 0.500 0.500 0.500
N 0.500 0.000 0.000
N 0.000 0.000 0.500
N 0.000 0.500 0.000
P 0.000 0.000 0.000

=====

Record 4
Density functional theory data (PBE) for a relaxed NbP3N crystal.

Computed properties:
The uncorrected formation energy is 50.72 kJ/mol of atoms. For the relative energy among the computed polymorphs, the calculation gives 0.000 eV per atom.

Cell lengths 4.030, 4.030, 4.030 Å; angles 90.00, 90.00, 90.00 degrees
Atoms (fractional coordinates):
P 0.000 0.000 0.500
P 0.500 0.000 0.000
P 0.000 0.500 0.000
Nb 0.500 0.500 0.500
N 0.000 0.000 0.000

=====

Record 5
Density functional theory data (PBE) for a relaxed Nb2PN crystal.

Computed properties:
The uncorrected formation energy is -41.31 kJ/mol of atoms. For the relative energy among the computed polymorphs, the calculation gives 0.000 eV per atom.

Cell lengths 5.114, 5.114, 6.384 Å; angles 66.39, 66.39, 90.00 degrees
Atoms (fractional coordinates):
Nb 0.190 0.625 0.250
Nb 0.375 0.440 0.750
Nb 0.560 0.125 0.250
Nb 0.875 0.810 0.750
N 0.250 0.750 0.500
N 0.500 0.500 0.000
P 0.000 0.000 0.000
P 0.750 0.250 0.500

=====

Record 6
Density functional theory data (PBE) for a relaxed Nb6PN crystal.

Computed properties:
The uncorrected formation energy is -38.55 kJ/mol of atoms.

Cell lengths 5.613, 5.257, 6.294 Å; angles 59.92, 65.19, 59.49 degrees
Atoms (fractional coordinates):
Nb 0.941 0.572 0.270
Nb 0.249 0.987 0.197
Nb 0.613 0.242 0.222
Nb 0.059 0.428 0.730
Nb 0.387 0.758 0.778
Nb 0.751 0.013 0.803
N 0.000 0.000 0.000
P 0.500 0.500 0.500

=====

Record 7
Density functional theory data (PBE) for a relaxed Nb2PN crystal.

Computed properties:
The uncorrected formation energy is -35.82 kJ/mol of atoms. For the relative energy among the computed polymorphs, the calculation gives 0.057 eV per atom.

Cell lengths 3.178, 3.178, 7.349 Å; angles 77.51, 77.51, 60.00 degrees
Atoms (fractional coordinates):
P 0.000 0.000 0.000
N 0.500 0.500 0.500
Nb 0.889 0.889 0.334
Nb 0.111 0.111 0.666

=====

Record 8
Density functional theory data (PBE) for a relaxed NbPN3 crystal.

Computed properties:
The uncorrected formation energy is 114.26 kJ/mol of atoms.

Cell lengths 4.057, 4.057, 4.057 Å; angles 90.00, 90.00, 90.00 degrees
Atoms (fractional coordinates):
N 0.000 0.500 0.000
N 0.000 0.000 0.500
N 0.500 0.000 0.000
P 0.500 0.500 0.500
Nb 0.000 0.000 0.000

=====

Looking at raw total energy for the records above, in order, we have -10.06, -8.08, -7.75, -6.40, -8.90, -9.67, -8.84, -6.91 eV/atom.